No. 1
Compound: CeHfSc2
Source: Alexandria via LeMat-Bulk
Functional: PBE-GGA
Structure: optimized geometry

Calculated values
- Excess energy over the best structure of this formula in the dataset: 0.004 eV/atom
- V: 398.8 Å³/cell
- Crystal system: orthorhombic
- Fermi-level density of states: 30.09 states/eV/cell
- Electronic total energy: -7.063 eV/atom
- Energy of formation from the pure elements: 0.0745 eV/atom
- M_tot: 0.0 μB/cell

```
CeHfSc2
1.0
3.211 0.000 -0.005
0.000 10.285 0.000
0.016 0.000 12.077
Sc Ce Hf
8 4 4
Cartesian
0.813 5.055 7.481 Sc
2.423 7.675 11.998 Sc
2.410 0.088 1.440 Sc
2.414 5.230 4.591 Sc
2.416 2.532 6.110 Sc
0.816 10.198 10.632 Sc
0.803 2.610 0.074 Sc
0.810 7.753 5.962 Sc
0.807 7.679 2.911 Ce
0.806 2.537 3.125 Ce
2.419 2.606 9.161 Ce
2.420 7.749 8.947 Ce
0.816 5.270 10.726 Hf
2.414 10.158 4.686 Hf
0.812 0.127 7.387 Hf
2.410 5.015 1.346 Hf
```

***

No. 2
Compound: Rb3Ca3TcO8
Source: Alexandria via LeMat-Bulk
Functional: PBE-GGA
Structure: optimized geometry

Calculated values
- V: 268.5 Å³/cell
- Crystal system: trigonal
- Electronic total energy: -5.947 eV/atom
- Raw formation energy: -2.018 eV per atom
- M_tot: 0.0 μB/cell

```
Rb3Ca3TcO8
1.0
-4.076 4.355 3.465
-2.765 -4.620 -4.312
2.763 -2.666 6.601
Ca O Rb Tc
3 8 3 1
Cartesian
-2.039 -1.465 2.877 Ca
-0.656 0.844 5.033 Ca
-0.001 -3.643 1.144 Ca
-4.101 -0.233 2.335 O
-1.632 -5.463 0.837 O
-1.745 -2.221 0.739 O
-2.333 -0.710 5.014 O
-2.446 2.532 4.916 O
-0.007 -0.075 2.842 O
-4.071 -2.856 2.911 O
0.024 -2.698 3.419 O
0.000 0.000 0.000 Rb
-3.420 -0.132 -0.424 Rb
-1.382 -2.310 -2.156 Rb
1.381 -1.333 3.301 Tc
```

***

No. 3
Compound: V2HS4
Source: Alexandria via LeMat-Bulk
Functional: PBE-GGA
Structure: optimized geometry

Calculated values
- V: 220.9 Å³/cell
- Crystal system: monoclinic
- Fermi-level density of states: 5.22 states/eV/cell
- Electronic total energy: -6.106 eV/atom
- M_tot: 0.0 μB/cell

```
V2HS4
1.0
6.786 0.252 -0.125
-0.238 6.778 0.131
-3.197 -3.583 4.791
V H S
4 2 8
Cartesian
3.343 1.468 1.379 V
-1.414 -0.033 3.730 V
3.109 5.353 1.376 V
1.874 -0.055 3.356 V
0.661 0.539 0.112 H
-0.887 3.363 1.894 H
4.745 3.496 1.041 S
3.535 -1.627 3.522 S
0.157 -1.744 3.687 S
0.088 1.629 3.699 S
5.121 0.062 1.188 S
1.603 0.031 1.098 S
1.709 3.369 1.255 S
3.406 1.657 3.644 S
```

***

No. 4
Compound: Ba2Bi5Pt
Source: Alexandria via LeMat-Bulk
Functional: PBE-GGA
Structure: optimized geometry

Calculated values
- V: 283.9 Å³/cell
- Crystal system: tetragonal
- Fermi-level density of states: 2.69 states/eV/cell
- Electronic total energy: -4.159 eV/atom
- Energy of formation from the pure elements: -0.4979 eV/atom
- M_tot: 0.0 μB/cell

```
Ba2Bi5Pt
1.0
7.193 0.000 0.000
0.000 7.193 0.000
-3.596 -3.596 5.487
Bi Ba Pt
5 2 1
Cartesian
1.710 1.710 5.401 Bi
1.710 -1.710 5.402 Bi
3.597 3.597 3.009 Bi
-1.710 1.710 5.401 Bi
-1.710 -1.710 5.401 Bi
3.597 0.000 2.616 Ba
0.000 3.597 2.616 Ba
0.000 0.000 0.629 Pt
```

***

No. 5
Compound: FeCu4Pd4
Source: Alexandria via LeMat-Bulk
Functional: PBE-GGA
Structure: optimized geometry

Calculated values
- V: 122.9 Å³/cell
- Crystal system: tetragonal
- Fermi-level density of states: 4.88 states/eV/cell
- Electronic total energy: -5.151 eV/atom
- Energy of formation from the pure elements: -0.0824 eV/atom
- M_tot: 4.0 μB/cell

```
FeCu4Pd4
1.0
-0.619 0.436 3.829
0.393 -5.300 2.656
5.186 1.024 2.711
Cu Pd Fe
4 4 1
Cartesian
5.040 -2.262 7.040 Cu
1.872 -4.819 4.829 Cu
3.088 0.980 4.366 Cu
-0.081 -1.578 2.156 Cu
1.309 -2.838 6.502 Pd
1.366 -1.074 4.321 Pd
3.650 -1.002 2.694 Pd
3.593 -2.766 4.874 Pd
0.000 0.000 0.000 Fe
```

***

No. 6
Compound: PaCrTcSb
Source: Alexandria via LeMat-Bulk
Functional: PBE-GGA
Structure: optimized geometry

Calculated values
- V: 73.3 Å³/cell
- Crystal system: cubic
- Fermi-level density of states: 4.86 states/eV/cell
- Electronic total energy: -8.408 eV/atom
- Raw formation energy: -0.006 eV per atom
- M_tot: 0.9 μB/cell

```
PaCrTcSb
1.0
-4.441 0.972 1.183
-3.468 -0.748 -3.079
-3.060 -3.493 0.712
Cr Tc Pa Sb
1 1 1 1
Cartesian
-2.742 -0.817 -0.296 Cr
-8.227 -2.452 -0.888 Tc
0.000 0.000 0.000 Pa
-5.485 -1.634 -0.592 Sb
```

***

No. 7
Compound: BaLaBr5
Source: Alexandria via LeMat-Bulk
Functional: PBE-GGA
Structure: optimized geometry

Calculated values
- Excess energy over the best structure of this formula in the dataset: 0.000 eV/atom
- V: 464.8 Å³/cell
- Crystal system: monoclinic
- Fermi-level density of states: 0.00 states/eV/cell
- Electronic total energy: -4.241 eV/atom
- Raw formation energy: -2.068 eV per atom
- M_tot: 0.0 μB/cell

```
BaLaBr5
1.0
-3.409 3.072 3.796
-3.175 -6.105 2.862
5.872 0.992 9.142
Br Ba La
10 2 2
Cartesian
-0.532 2.845 6.613 Br
1.429 1.141 9.897 Br
-2.052 -0.172 7.976 Br
0.845 -0.337 13.215 Br
-2.141 -3.182 5.903 Br
-0.180 -4.886 9.187 Br
-1.557 -1.704 2.585 Br
1.340 -1.869 7.824 Br
1.647 -3.686 12.125 Br
-2.359 1.646 3.675 Br
0.150 -0.180 5.145 Ba
-0.862 -1.861 10.655 Ba
-4.609 -1.591 7.072 La
3.897 -0.449 8.728 La
```

***

No. 8
Compound: LaTcNi
Source: Alexandria via LeMat-Bulk
Functional: PBE-GGA
Structure: optimized geometry

Calculated values
- Excess energy over the best structure of this formula in the dataset: 0.691 eV/atom
- V: 54.4 Å³/cell
- Crystal system: trigonal
- Fermi-level density of states: 4.02 states/eV/cell
- Electronic total energy: -6.403 eV/atom
- Energy of formation from the pure elements: 0.6223 eV/atom
- M_tot: 0.0 μB/cell

```
LaTcNi
1.0
2.933 0.000 0.000
-1.466 2.540 0.000
0.000 0.000 7.298
Ni Tc La
1 1 1
Cartesian
0.000 1.693 2.704 Ni
1.466 0.847 4.549 Tc
0.000 0.000 0.045 La
```

***

No. 9
Compound: GaCu2AgPb
Source: Alexandria via LeMat-Bulk
Functional: PBE-GGA
Structure: optimized geometry

Calculated values
- V: 114.7 Å³/cell
- Crystal system: tetragonal
- Fermi-level density of states: 1.78 states/eV/cell
- Electronic total energy: -2.980 eV/atom
- Energy of formation from the pure elements: 0.5761 eV/atom
- M_tot: 0.0 μB/cell

```
GaCu2AgPb
1.0
-2.039 -2.142 -3.497
-3.742 -2.038 3.429
-2.646 3.671 -0.706
Ag Pb Ga Cu
1 1 1 2
Cartesian
-4.213 -0.254 -0.387 Ag
-1.871 -1.019 1.715 Pb
0.000 0.000 0.000 Ga
-1.323 1.835 -0.353 Cu
-1.019 -1.071 -1.749 Cu
```

***

No. 10
Compound: P2IrCO
Source: Alexandria via LeMat-Bulk
Functional: PBE-GGA
Structure: optimized geometry

Calculated values
- Excess energy over the best structure of this formula in the dataset: 0.610 eV/atom
- V: 81.2 Å³/cell
- Crystal system: tetragonal
- Fermi-level density of states: 4.13 states/eV/cell
- Electronic total energy: -5.276 eV/atom
- Raw formation energy: 1.497 eV per atom
- M_tot: 0.2 μB/cell

```
P2IrCO
1.0
-3.081 1.880 3.029
1.534 -2.915 3.369
2.498 2.476 1.005
Ir P C O
1 2 1 1
Cartesian
0.000 0.000 0.000 Ir
0.767 -1.458 1.684 P
-1.541 0.940 1.514 P
0.475 0.720 3.701 C
1.249 1.238 0.502 O
```

***

No. 11
Compound: La2BeSiN
Source: Alexandria via LeMat-Bulk
Functional: PBE-GGA
Structure: optimized geometry

Calculated values
- Excess energy over the best structure of this formula in the dataset: 1.405 eV/atom
- V: 121.6 Å³/cell
- Crystal system: tetragonal
- Fermi-level density of states: 3.15 states/eV/cell
- Electronic total energy: -4.986 eV/atom
- Raw formation energy: 0.479 eV per atom
- M_tot: 0.0 μB/cell

```
La2BeSiN
1.0
5.552 0.000 0.000
0.000 5.552 0.000
0.000 0.000 3.944
La N Be Si
2 1 1 1
Cartesian
2.776 0.000 0.000 La
0.000 2.776 0.000 La
2.776 2.776 1.972 N
0.000 0.000 1.972 Be
0.000 0.000 0.000 Si
```

***

No. 12
Compound: Zr2NiHPb
Source: Alexandria via LeMat-Bulk
Functional: PBE-GGA
Structure: optimized geometry

Calculated values
- V: 81.1 Å³/cell
- Crystal system: tetragonal
- Fermi-level density of states: 3.64 states/eV/cell
- Electronic total energy: -6.220 eV/atom
- M_tot: 0.0 μB/cell

```
Zr2NiHPb
1.0
4.418 0.000 0.000
0.000 4.418 0.000
0.000 0.000 4.156
Zr Pb Ni H
2 1 1 1
Cartesian
0.000 2.209 0.000 Zr
2.209 0.000 0.000 Zr
2.209 2.209 2.078 Pb
0.000 0.000 2.078 Ni
0.000 0.000 0.000 H
```